## NaCuOs3 (PBE-GGA)

Data for a geometry-optimized NaCuOs3 structure. Values from VASP.

Structure (Quantum ESPRESSO input):
```
&SYSTEM
  ibrav = 0, nat = 5, ntyp = 3
/
ATOMIC_SPECIES
Na 22.99 Na.upf
Cu 63.55 Cu.upf
Os 190.23 Os.upf
ATOMIC_POSITIONS crystal
Na 0.000 0.000 0.000
Cu 0.500 0.500 0.500
Os 0.000 0.500 0.500
Os 0.500 0.000 0.500
Os 0.500 0.500 0.000
CELL_PARAMETERS angstrom
4.534 0.000 0.000
0.000 4.534 0.000
0.000 0.000 4.534
```

## Properties
- calculated volume (Å³/cell) = 93.18
- DFT formation energy (meV/atom) = 2145.1
- raw total energy (eV/atom) = -5.676



## CsHoFeBr6 (PBE-GGA)

Data for a geometry-optimized CsHoFeBr6 structure. Values from VASP.

Structure (Quantum ESPRESSO input):
```
&SYSTEM
  ibrav = 0, nat = 9, ntyp = 4
/
ATOMIC_SPECIES
Cs 132.91 Cs.upf
Ho 164.93 Ho.upf
Fe 55.84 Fe.upf
Br 79.90 Br.upf
ATOMIC_POSITIONS crystal
Cs 0.000 0.000 0.000
Ho 0.666 0.334 0.500
Fe 0.333 0.667 0.500
Br 0.015 0.382 0.691
Br 0.015 0.632 0.309
Br 0.368 0.985 0.691
Br 0.370 0.385 0.307
Br 0.615 0.630 0.693
Br 0.618 0.985 0.309
CELL_PARAMETERS angstrom
3.548 -6.149 0.000
3.548 6.149 0.000
-0.012 0.000 8.191
```

## Properties
- calculated volume (Å³/cell) = 357.45
- raw total energy (eV/atom) = -4.030



What did the second record say?
## CsHoFeBr6 (PBE-GGA)

Data for a geometry-optimized CsHoFeBr6 structure. Values from VASP.

Structure (Quantum ESPRESSO input):
```
&SYSTEM
  ibrav = 0, nat = 9, ntyp = 4
/
ATOMIC_SPECIES
Cs 132.91 Cs.upf
Ho 164.93 Ho.upf
Fe 55.84 Fe.upf
Br 79.90 Br.upf
ATOMIC_POSITIONS crystal
Cs 0.000 0.000 0.000
Ho 0.666 0.334 0.500
Fe 0.333 0.667 0.500
Br 0.015 0.382 0.691
Br 0.015 0.632 0.309
Br 0.368 0.985 0.691
Br 0.370 0.385 0.307
Br 0.615 0.630 0.693
Br 0.618 0.985 0.309
CELL_PARAMETERS angstrom
3.548 -6.149 0.000
3.548 6.149 0.000
-0.012 0.000 8.191
```

## Properties
- calculated volume (Å³/cell) = 357.45
- raw total energy (eV/atom) = -4.030



Question: What is the formula in the second record?
Answer: CsHoFeBr6